No. 1
Crystalline CaBeCl2 at its relaxed geometry, computed with GGA-PBE.

```
CaBeCl2
1.0
-0.425 2.368 2.741
-4.877 0.937 -1.566
-4.036 -3.255 2.186
Be Ca Cl
1 1 2
direct
0.000 0.587 0.388 Be
0.500 0.676 0.764 Ca
0.000 0.911 0.999 Cl
0.500 0.325 0.349 Cl
```

Values from the calculation:
Formation energy (no corrections) ... -1027 meV/atom
Symmetry ... Pm

No. 2
Crystalline AcGa2OsO8 at its relaxed geometry, computed with GGA-PBE.

```
AcGa2OsO8
1.0
-2.226 -4.346 -0.551
0.546 -0.802 -4.817
5.713 -4.139 0.272
Ac Ga Os O
1 2 1 8
direct
0.000 0.000 0.500 Ac
0.455 0.455 0.715 Ga
0.545 0.545 0.285 Ga
0.000 0.000 0.000 Os
0.218 0.788 0.202 O
0.759 0.760 0.059 O
0.789 0.218 0.202 O
0.782 0.212 0.798 O
0.241 0.240 0.941 O
0.211 0.782 0.798 O
0.667 0.668 0.497 O
0.333 0.332 0.503 O
```

Values from the calculation:
Formation energy (no corrections) ... -1721 meV/atom
Symmetry ... C2/m

No. 3
Crystalline PmScAg2S4 at its relaxed geometry, computed with GGA-PBE.

```
PmScAg2S4
1.0
-3.649 0.648 -1.390
0.590 -5.524 -4.122
-2.606 -1.333 6.217
Pm Sc Ag S
1 1 2 4
direct
0.500 0.500 0.000 Pm
0.000 0.000 0.000 Sc
0.500 0.000 0.500 Ag
0.000 0.500 0.500 Ag
0.500 0.247 0.234 S
0.500 0.753 0.766 S
0.000 0.215 0.767 S
0.000 0.785 0.233 S
```

Values from the calculation:
Formation energy (no corrections) ... -1189 meV/atom
Symmetry ... P2/m

No. 4
Crystalline TlAgSn at its relaxed geometry, computed with GGA-PBE.

```
TlAgSn
1.0
8.377 0.000 0.000
0.000 4.821 0.000
0.000 0.000 7.699
Tl Sn Ag
4 4 4
direct
0.010 0.250 0.828 Tl
0.490 0.750 0.328 Tl
0.990 0.750 0.172 Tl
0.510 0.250 0.672 Tl
0.228 0.250 0.390 Sn
0.272 0.750 0.890 Sn
0.772 0.750 0.610 Sn
0.728 0.250 0.110 Sn
0.884 0.250 0.440 Ag
0.616 0.750 0.940 Ag
0.116 0.750 0.560 Ag
0.384 0.250 0.060 Ag
```

Values from the calculation:
Formation energy from the elements ... 0.0714 eV per atom
Symmetry ... Pnma

No. 5
Crystalline CaVSn2As at its relaxed geometry, computed with GGA-PBE.

```
CaVSn2As
1.0
-3.569 -1.282 3.548
-0.513 -4.270 -2.059
3.731 -1.923 3.058
As Ca Sn V
1 1 2 1
direct
0.000 0.500 0.000 As
0.500 0.500 0.500 Ca
0.000 0.000 0.500 Sn
0.500 0.000 0.000 Sn
0.000 0.000 0.000 V
```

Values from the calculation:
Formation energy from the elements ... -0.1333 eV per atom
Symmetry ... P4/mmm

No. 6
Crystalline TlTcW2 at its relaxed geometry, computed with GGA-PBE.

```
TlTcW2
1.0
-3.033 1.346 -4.233
-1.676 -4.027 -3.146
-0.063 1.990 4.997
Tc Tl W
1 1 2
direct
0.514 0.514 0.000 Tc
0.251 0.751 0.500 Tl
0.982 0.982 0.000 W
0.753 0.253 0.500 W
```

Values from the calculation:
Formation energy from the elements ... 0.7092 eV per atom
Symmetry ... Imm2

No. 7
Crystalline CaP2PdS at its relaxed geometry, computed with GGA-PBE.

```
CaP2PdS
1.0
-1.065 -0.019 -4.474
0.878 -4.511 -0.189
-4.965 -1.017 1.186
P Ca S Pd
2 1 1 1
direct
0.000 0.500 0.000 P
0.500 0.000 0.000 P
0.500 0.500 0.500 Ca
0.000 0.000 0.500 S
0.000 0.000 0.000 Pd
```

Values from the calculation:
Formation energy (no corrections) ... -90 meV/atom
Symmetry ... P4/mmm

No. 8
Crystalline AlAgGe at its relaxed geometry, computed with GGA-PBE.

```
AlAgGe
1.0
-1.345 -1.192 -2.367
5.802 -1.274 -4.538
1.919 -4.646 1.210
Ge Al Ag
2 2 2
direct
0.755 0.629 0.914 Ge
0.434 0.256 0.323 Ge
0.594 0.943 0.118 Al
0.094 0.943 0.618 Al
0.933 0.267 0.817 Ag
0.255 0.619 0.419 Ag
```

Values from the calculation:
Formation energy from the elements ... 0.1422 eV per atom
Symmetry ... P-1